(1)
VASP calculation (GGA-PBE) on an optimized crystal structure of LiZnRe.

Structure (POSCAR):
```
LiZnRe
1.0
2.688 0.000 0.000
-1.344 2.328 0.000
0.000 0.000 6.975
Li Zn Re
1 1 1
direct
0.000 0.000 0.000 Li
0.333 0.667 0.670 Zn
0.667 0.333 0.333 Re
```

Summary:
Distance to the lowest polymorph of the same formula in meV/atom: 0
SG: P3m1
Calculated density in g cm⁻³: 9.8
Energy of formation from the pure elements in eV per atom: 0.14

---

(2)
VASP calculation (GGA-PBE) on an optimized crystal structure of LiZnRe.

Structure (POSCAR):
```
LiZnRe
1.0
-1.297 1.602 4.842
1.297 -1.602 4.842
1.297 1.602 -4.842
Li Zn Re
1 1 1
direct
0.000 0.000 0.000 Li
0.357 0.357 0.000 Zn
0.677 0.677 0.000 Re
```

Summary:
Distance to the lowest polymorph of the same formula in meV/atom: 197
SG: Imm2
Calculated density in g cm⁻³: 10.7
Energy of formation from the pure elements in eV per atom: 0.34

---

(3)
VASP calculation (GGA-PBE) on an optimized crystal structure of LiZr2ZnRe.

Structure (POSCAR):
```
LiZr2ZnRe
1.0
4.989 0.000 0.000
0.000 4.989 0.000
0.000 0.000 4.832
Li Zr Zn Re
1 2 1 1
direct
0.000 0.000 0.000 Li
0.000 0.500 0.500 Zr
0.500 0.000 0.500 Zr
0.500 0.500 0.000 Zn
0.000 0.000 0.500 Re
```

Summary:
Distance to the lowest polymorph of the same formula in meV/atom: 0
SG: P4/mmm
Calculated density in g cm⁻³: 6.1
Energy of formation from the pure elements in eV per atom: 0.71

---

(4)
VASP calculation (GGA-PBE) on an optimized crystal structure of LiZr2ZnRe.

Structure (POSCAR):
```
LiZr2ZnRe
1.0
4.694 0.000 0.000
0.000 4.694 0.000
0.000 0.000 4.118
Li Zr Zn Re
1 2 1 1
direct
0.000 0.000 0.000 Li
0.000 0.500 0.000 Zr
0.500 0.000 0.000 Zr
0.500 0.500 0.500 Zn
0.000 0.000 0.500 Re
```

Summary:
Distance to the lowest polymorph of the same formula in meV/atom: 100
SG: P4/mmm
Calculated density in g cm⁻³: 8.1
Energy of formation from the pure elements in eV per atom: 0.81